DFT (PBE) results for crystalline CuTe2IBr at its relaxed geometry.

```
CuTe2IBr
1.0
-3.644 -4.232 -0.545
1.487 -1.931 5.054
-4.150 3.257 2.465
I Br Te Cu
1 1 2 1
direct
0.000 0.000 0.500
0.000 0.000 0.000
0.000 0.500 0.000
0.500 0.000 0.000
0.500 0.500 0.500
```

Raw formation energy = 1.037 eV per atom
Theoretical density = 4.8 g cm⁻³
Calculated total energy = -1.684 eV per atom
Offset from the most stable computed form = 693 meV/atom